Here is a geometry-optimized BaHf3Pt structure from Alexandria. Energies are from PBE.

The structure in POSCAR format:
```
BaHf3Pt
1.0
5.155 0.000 0.000
0.000 5.155 0.000
0.000 0.000 5.155
Ba Hf Pt
1 3 1
Direct
0.000 0.000 0.000 Ba
0.000 0.000 0.500 Hf
0.000 0.500 0.000 Hf
0.500 0.000 0.000 Hf
0.500 0.500 0.500 Pt
```

Space group = Pm-3m, No. 221

Here is a geometry-optimized BaHfPt2 structure from Alexandria. Energies are from PBE.

The structure in POSCAR format:
```
BaHfPt2
1.0
7.735 0.000 0.000
0.000 7.735 0.000
0.000 0.000 7.533
Ba Hf Pt
4 4 8
Direct
0.000 0.000 0.000 Ba
0.000 0.500 0.250 Ba
0.500 0.000 0.750 Ba
0.500 0.500 0.500 Ba
0.000 0.000 0.500 Hf
0.000 0.500 0.750 Hf
0.500 0.000 0.250 Hf
0.500 0.500 0.000 Hf
0.181 0.250 0.625 Pt
0.250 0.681 0.875 Pt
0.250 0.819 0.375 Pt
0.319 0.250 0.125 Pt
0.681 0.750 0.125 Pt
0.750 0.181 0.375 Pt
0.750 0.319 0.875 Pt
0.819 0.750 0.625 Pt
```

Space group = I-42d, No. 122

Energy above the most stable polymorph in this dataset values (in meV per atom) by entry order: 1979; 405.
DFT formation energy values (in eV/f.u.) by entry order: 10.833; -1.778.
Final energy values (in eV/cell) by entry order: -27.0; -102.9.